# 1
This record from Alexandria via LeMat-Bulk describes crystalline KCd2Br2 at its relaxed geometry. The functional is PBE.

Values from the calculation:
D(E_F) in states/eV per cell: 1.290
Energy in eV/atom: -2.02
SG: No. 139
E_form (uncorrected) in eV per atom: -0.76
Total magnetic moment in μB/f.u.: 0.00
Energy above the most stable polymorph in this dataset in eV per atom: 0.000

Lattice parameters (Å, degrees): 4.1160 4.1160 9.6769 77.72 77.72 90.00
Last column: nearest neighbours and their distance in Å.
Element x y z (fractional)
K 0.0000 0.0000 0.0000  8 Br 3.48
Br 0.3970 0.3970 0.2059  4 Cd 3.41, 4 K 3.48, 1 Br 3.80
Br 0.6030 0.6030 0.7941  4 Cd 3.41, 4 K 3.48, 1 Br 3.80
Cd 0.7500 0.2500 0.5000  4 Cd 2.91
Cd 0.2500 0.7500 0.5000  4 Cd 2.91

***

# 2
This record from Alexandria via LeMat-Bulk describes crystalline CsCaH2SeF at its relaxed geometry. The functional is PBE.

Values from the calculation:
D(E_F) in states/eV per cell: 0.000
Energy in eV/atom: -3.98
SG: No. 8
Total magnetic moment in μB/f.u.: 0.01
Energy above the most stable polymorph in this dataset in eV per atom: 0.062

Lattice parameters (Å, degrees): 8.0263 4.7085 8.1678 90.00 110.01 90.00
Last column: nearest neighbours and their distance in Å.
Element x y z (fractional)
Cs 0.6971 0.0000 0.4369  3 H 2.94, 3 F 3.11
Cs 0.6971 0.5000 0.9369  3 H 2.94, 3 F 3.11
H 0.8453 0.0000 0.8193  1 H 0.76
H 0.8453 0.5000 0.3193  1 H 0.76
H 0.9455 0.0000 0.8542  1 H 0.76
H 0.9455 0.5000 0.3542  1 H 0.76
Ca 0.1804 0.0000 0.2666  1 F 2.14
Ca 0.1804 0.5000 0.7666  1 F 2.14
Se 0.3129 0.0000 0.9781  1 H 2.77, 3 Ca 2.90
Se 0.3129 0.5000 0.4781  1 H 2.77, 3 Ca 2.90
F 0.8966 0.0000 0.1705  1 Ca 2.14
F 0.8966 0.5000 0.6705  1 Ca 2.14

***

# 3
This record from Alexandria via LeMat-Bulk describes crystalline GeH3N at its relaxed geometry. The functional is PBE.

Values from the calculation:
D(E_F) in states/eV per cell: 1.133
Energy in eV/atom: -3.29
SG: No. 221
Total magnetic moment in μB/f.u.: 2.52
Energy above the most stable polymorph in this dataset in eV per atom: 0.121

Lattice parameters (Å, degrees): 3.5763 3.5763 3.5763 90.00 90.00 90.00
Last column: nearest neighbours and their distance in Å.
Element x y z (fractional)
H 0.0000 0.5000 0.0000  2 Ge 1.79
H 0.0000 0.0000 0.5000  2 Ge 1.79
H 0.5000 0.0000 0.0000  2 Ge 1.79
Ge 0.0000 0.0000 0.0000  6 H 1.79
N 0.5000 0.5000 0.5000  12 H 2.53

***

# 4
This record from Alexandria via LeMat-Bulk describes crystalline CsTeI2Cl at its relaxed geometry. The functional is PBE.

Values from the calculation:
D(E_F) in states/eV per cell: 3.510
Energy in eV/atom: -2.54
SG: No. 123
E_form (uncorrected) in eV per atom: -0.76
Total magnetic moment in μB/f.u.: 0.00
Energy above the most stable polymorph in this dataset in eV per atom: 0.000

Lattice parameters (Å, degrees): 6.3918 6.3918 5.3846 90.00 90.00 90.00
Last column: nearest neighbours and their distance in Å.
Element x y z (fractional)
Cs 0.5000 0.5000 0.5000  8 I 4.18, 4 Cl 4.52
I 0.0000 0.5000 0.0000  2 Te 3.20
I 0.5000 0.0000 0.0000  2 Te 3.20
Te 0.0000 0.0000 0.0000  2 Cl 2.69
Cl 0.0000 0.0000 0.5000  2 Te 2.69

***

# 5
This record from Alexandria via LeMat-Bulk describes crystalline Ba2ScGaTe5 at its relaxed geometry. The functional is PBE.

Values from the calculation:
Energy in eV/atom: -4.45
SG: No. 36
E_form (uncorrected) in eV per atom: -1.24
Total magnetic moment in μB/f.u.: 0.00

Lattice parameters (Å, degrees): 4.4454 10.4482 14.1084 90.00 90.00 102.28
Last column: nearest neighbours and their distance in Å.
Element x y z (fractional)
Ba 0.8715 0.7430 0.8188  7 Te 3.48-3.78
Ba 0.1234 0.2467 0.6888  7 Te 3.46-3.73
Ba 0.1285 0.2570 0.3188  7 Te 3.48-3.78
Ba 0.8766 0.7533 0.1888  7 Te 3.46-3.73
Sc 0.7925 0.5850 0.5242  6 Te 2.86-3.14
Sc 0.2075 0.4150 0.0242  6 Te 2.86-3.14
Ga 0.5636 0.1271 0.9330  4 Te 2.61-2.73
Ga 0.4364 0.8729 0.4330  4 Te 2.61-2.73
Te 0.3468 0.6936 0.0056  1 Sc 2.86
Te 0.6908 0.3816 0.8772  1 Ga 2.71
Te 0.5005 0.0010 0.7721  1 Ga 2.61
Te 0.2947 0.5895 0.6600  2 Sc 2.93
Te 0.9457 0.8914 0.5442  2 Ga 2.73
Te 0.6532 0.3064 0.5056  1 Sc 2.86
Te 0.3092 0.6184 0.3772  1 Ga 2.71
Te 0.4995 0.9990 0.2721  1 Ga 2.61
Te 0.7053 0.4105 0.1600  2 Sc 2.93
Te 0.0543 0.1086 0.0442  2 Ga 2.73

***

# 6
This record from Alexandria via LeMat-Bulk describes crystalline LiNdO2 at its relaxed geometry. The functional is PBE.

Values from the calculation:
D(E_F) in states/eV per cell: 0.000
Energy in eV/atom: -6.83
SG: No. 166
E_form (uncorrected) in eV per atom: -2.68
Total magnetic moment in μB/f.u.: 0.00

Lattice parameters (Å, degrees): 3.6799 3.6799 6.2583 72.90 72.90 60.00
Last column: nearest neighbours and their distance in Å.
Element x y z (fractional)
Nd 0.5000 0.5000 0.5000  6 O 2.41
O 0.1021 0.1021 0.6938  1 Li 1.80
O 0.8979 0.8979 0.3062  1 Li 1.80
Li 0.0000 0.0000 0.0000  2 O 1.80

***

# 7
This record from Alexandria via LeMat-Bulk describes crystalline PmGdThSn at its relaxed geometry. The functional is PBE.

Values from the calculation:
D(E_F) in states/eV per cell: 5.436
Energy in eV/atom: -7.73
SG: No. 216
Total magnetic moment in μB/f.u.: 7.55

Lattice parameters (Å, degrees): 5.4964 5.4964 5.4964 60.00 60.00 60.00
Last column: nearest neighbours and their distance in Å.
Element x y z (fractional)
Gd 0.2500 0.2500 0.2500  4 Sn 3.37, 4 Th 3.37
Sn 0.0000 0.0000 0.0000  4 Gd 3.37, 4 Pm 3.37
Th 0.5000 0.5000 0.5000  4 Pm 3.37, 4 Gd 3.37
Pm 0.7500 0.7500 0.7500  4 Th 3.37, 4 Sn 3.37

***

# 8
This record from Alexandria via LeMat-Bulk describes crystalline MgReSi4 at its relaxed geometry. The functional is PBE.

Values from the calculation:
D(E_F) in states/eV per cell: 2.826
Energy in eV/atom: -5.47
SG: No. 216
E_form (uncorrected) in eV per atom: 0.48
Total magnetic moment in μB/f.u.: 0.00

Lattice parameters (Å, degrees): 4.9542 4.9542 4.9542 60.00 60.00 60.00
Last column: nearest neighbours and their distance in Å.
Element x y z (fractional)
Mg 0.7500 0.7500 0.7500  12 Si 2.91, 4 Re 3.03
Re 0.0000 0.0000 0.0000  12 Si 2.90, 4 Mg 3.03
Si 0.8778 0.3741 0.3741  6 Si 2.46-2.50
Si 0.3741 0.3741 0.8778  6 Si 2.46-2.50
Si 0.3741 0.8778 0.3741  6 Si 2.46-2.50
Si 0.3741 0.3741 0.3741  6 Si 2.46-2.50

***

energy of number 4 (CsTeI2Cl)? -2.54 eV/atom